# 1
Rb2BaAuCl6 | PBE | optimized geometry

Calculated values
Fermi-level density of states: 0.0086 states/eV/atom
space group: I4/mmm
uncorrected energy: -3.3088 eV per atom

```
Rb2BaAuCl6
1.0
-5.071 1.360 -6.207
5.968 -1.709 -5.250
-1.000 -5.369 -5.683
Cl Rb Ba Au
6 2 1 1
Direct
0.759 0.759 0.000
0.241 0.759 0.000
0.241 0.241 0.000
0.778 0.778 0.444
0.222 0.222 0.556
0.759 0.241 0.000
0.250 0.750 0.500
0.750 0.250 0.500
0.500 0.500 0.000
0.000 0.000 0.000
```



# 2
Ba8Rh3AuCl4 | PBE | optimized geometry

Calculated values
Fermi-level density of states: 0.5016 states/eV/atom
space group: R-3m
uncorrected energy: -4.1040 eV per atom

```
Ba8Rh3AuCl4
1.0
9.075 0.000 0.000
0.000 9.545 0.320
-4.538 -4.532 6.421
Ba Rh Au Cl
8 3 1 4
Direct
0.751 0.277 0.025
0.249 0.723 0.498
0.275 0.277 0.025
0.740 0.721 0.480
0.260 0.279 0.520
0.725 0.723 0.975
0.751 0.277 0.502
0.249 0.723 0.975
0.500 0.500 0.000
0.500 0.500 0.500
0.000 0.500 0.500
0.000 0.500 0.000
0.500 0.000 0.500
0.000 0.000 0.500
0.500 0.000 0.000
0.000 0.000 0.000
```



# 3
Ba4RhAuCl2 | PBE | optimized geometry

Calculated values
Fermi-level density of states: 0.6500 states/eV/atom
space group: P2/m
uncorrected energy: -3.9168 eV per atom

```
Ba4RhAuCl2
1.0
4.544 0.000 0.000
0.000 8.475 -0.408
0.000 2.752 7.413
Ba Rh Cl Au
4 1 2 1
Direct
0.500 0.724 0.271
0.000 0.272 0.260
0.500 0.276 0.729
0.000 0.728 0.740
0.000 0.500 0.500
0.000 0.000 0.000
0.500 0.000 0.500
0.500 0.500 0.000
```



| no. | total moment (μB/cell) |
| --- | --- |
| 1 | 1.0 |
| 2 | 0.0 |
| 3 | 0.0 |